Computed, not measured: an optimized crystal structure of Y at the GGA-PBE level of DFT.

Properties
DOS(E_F) in states/eV/cell: 6.447
Space group: No. 191
Energy above the lowest structure with this stoichiometry in meV per atom: 62
DFT total energy in eV per formula unit: -6.4
Formation enthalpy at 0 K in eV per atom: 0.062

Cell lengths 5.632, 5.632, 3.520 Å; angles 90.00, 90.00, 120.00 degrees
Positions (direct):
Y1 0.000 0.000 0.000
Y2 0.333 0.667 0.500
Y3 0.667 0.333 0.500